DFT (PBE) results for crystalline CoRuPt2 at its relaxed geometry.

Computed properties:
Magnetization ... 5.71 Bohr magnetons per cell
Crystal system ... orthorhombic
DOS at the Fermi energy ... 10.3 states/eV per cell
VASP energy ... -7.108 eV per atom
E above lowest polymorph ... 5.0 meV per atom
ρ ... 16.0 g/cm3

a b c (Å): 5.412 7.769 2.709
angles (deg): 90.00 90.00 90.00
Space group Cmmm (No. 65)
Unique sites:
Co 0.000 0.000 0.000
Ru 0.000 0.500 0.000
Pt 0.250 0.250 0.500